10
Lattice="7.1330 0.0000 0.0000 0.0000 7.1330 0.0000 0.0000 0.0000 2.7163" Properties=species:S:1:pos:R:3 comment="Cr2SiRh2 (PBE, relaxed)" e_above_lowest_polymorph_mev_per_atom=0 sg="No. 127" pbc="T T T"
Si 3.5665 3.5665 0.0000
Si 0.0000 0.0000 0.0000
Cr 4.3766 0.8101 0.0000
Cr 6.3229 4.3766 0.0000
Cr 2.7564 6.3229 0.0000
Cr 0.8101 2.7564 0.0000
Rh 1.2532 4.8197 1.3581
Rh 5.8798 2.3133 1.3581
Rh 2.3133 1.2532 1.3581
Rh 4.8197 5.8798 1.3581

=====

4
Lattice="5.1637 -0.0088 -0.0092 2.8311 4.3185 0.0092 -3.6231 -2.8492 2.3280" Properties=species:S:1:pos:R:3 comment="CrSi2Rh (PBE, relaxed)" sg="No. 44" pbc="T T T"
Rh 1.5304 1.7730 1.1686
Cr 4.0816 2.2002 0.0000
Si 2.6998 -0.3889 1.1594
Si 0.0573 0.0309 0.0000

=====

4
Lattice="-1.6727 3.7931 -0.2376 -1.2812 -0.3179 3.9369 2.4866 1.1531 0.9024" Properties=species:S:1:pos:R:3 comment="CrSi2Rh (PBE, relaxed)" sg="No. 123" pbc="T T T"
Si -1.4770 1.7376 1.8497
Si 0.0000 0.0000 0.0000
Cr 0.4069 2.4731 0.3324
Rh 0.6027 0.4176 2.4196

=====

5
Lattice="-4.3378 -1.2178 -0.0255 1.2783 -4.5681 0.7048 -0.2032 0.6307 4.4566" Properties=species:S:1:pos:R:3 comment="SrCrSi2Rh (PBE, relaxed)" sg="No. 123" pbc="T T T"
Si -0.1016 0.3154 2.2283
Si -2.1689 -0.6089 -0.0127
Cr 0.0000 0.0000 0.0000
Rh 0.6391 -2.2840 0.3524
Sr -1.6314 -2.5776 2.5680

=====

Number 1: formation energy without anion corrections 0.201 eV per atom, N(E_F) 11.1 states/eV/cell, total DFT energy (no corrections) -7.673 eV per atom. Number 2: formation energy without anion corrections -0.275 eV per atom, N(E_F) 3.1 states/eV/cell, total DFT energy (no corrections) -7.230 eV per atom. Number 3: formation energy without anion corrections -0.427 eV per atom, N(E_F) 1.9 states/eV/cell, total DFT energy (no corrections) -7.383 eV per atom. Number 4: formation energy without anion corrections 0.068 eV per atom, N(E_F) 4.1 states/eV/cell, total DFT energy (no corrections) -5.832 eV per atom.